[1]
Below is a relaxed structure of CuAg2OsCl, with properties calculated at the PBE level.

## Properties
Space-group type   P4/mmm, No. 123
Formation energy without anion corrections   1342 meV per atom
Electronic total energy   -3.233 eV per atom

Cell: 5.1917 4.7260 5.1917 Å, 90.00 90.00 90.00°
Last column: nearest neighbours and their distance in Å.
Element x y z (fractional)
Os  0.0000  0.0000  0.0000  2 Cu 2.36, 4 Ag 2.60
Cu  0.0000  0.5000  0.0000  2 Os 2.36
Ag  0.0000  0.0000  0.5000  2 Os 2.60
Ag  0.5000  0.0000  0.0000  2 Os 2.60
Cl  0.5000  0.5000  0.5000  8 Ag 3.51, 4 Cu 3.67

***

[2]
Below is a relaxed structure of Pm15SmSc4, with properties calculated at the PBE level.

## Properties
Space-group type   P4/mmm, No. 123
Electronic total energy   -5.034 eV per atom

Cell: 5.0512 5.0512 25.1897 Å, 90.00 90.00 90.00°
Last column: nearest neighbours and their distance in Å.
Element x y z (fractional)
Pm  0.5000  0.5000  0.0000  4 Sm 3.57, 8 Pm 3.64
Pm  0.5000  0.5000  0.2036  8 Pm 3.54-3.56, 4 Sc 3.57
Pm  0.5000  0.5000  0.4010  8 Pm 3.55, 4 Sc 3.57
Pm  0.5000  0.5000  0.5990  8 Pm 3.55, 4 Sc 3.57
Pm  0.5000  0.5000  0.7964  8 Pm 3.54-3.56, 4 Sc 3.57
Pm  0.5000  0.0000  0.1041  2 Sc 3.55, 8 Pm 3.56-3.64, 2 Sm 3.64
Pm  0.5000  0.0000  0.3020  8 Pm 3.54-3.57, 4 Sc 3.55
Pm  0.5000  0.0000  0.5000  4 Sc 3.55, 8 Pm 3.55-3.57
Pm  0.5000  0.0000  0.6980  8 Pm 3.54-3.57, 4 Sc 3.55
Pm  0.5000  0.0000  0.8959  2 Sc 3.55, 8 Pm 3.56-3.64, 2 Sm 3.64
Pm  0.0000  0.5000  0.1041  2 Sc 3.55, 8 Pm 3.56-3.64, 2 Sm 3.64
Pm  0.0000  0.5000  0.3020  8 Pm 3.54-3.57, 4 Sc 3.55
Pm  0.0000  0.5000  0.5000  4 Sc 3.55, 8 Pm 3.55-3.57
Pm  0.0000  0.5000  0.6980  8 Pm 3.54-3.57, 4 Sc 3.55
Pm  0.0000  0.5000  0.8959  2 Sc 3.55, 8 Pm 3.56-3.64, 2 Sm 3.64
Sm  0.0000  0.0000  0.0000  12 Pm 3.57-3.64
Sc  0.0000  0.0000  0.2031  12 Pm 3.55-3.57
Sc  0.0000  0.0000  0.4010  12 Pm 3.55-3.57
Sc  0.0000  0.0000  0.5990  12 Pm 3.55-3.57
Sc  0.0000  0.0000  0.7969  12 Pm 3.55-3.57

***

[3]
Below is a relaxed structure of BaTlSb2Te, with properties calculated at the PBE level.

## Properties
Space-group type   P4/mmm, No. 123
Formation energy without anion corrections   -23 meV per atom
Electronic total energy   -3.158 eV per atom
Relative energy among the computed polymorphs   0 kJ/mol of formula units

Cell: 5.7298 5.7298 5.9632 Å, 90.00 90.00 90.00°
Last column: nearest neighbours and their distance in Å.
Element x y z (fractional)
Sb  0.0000  0.5000  0.0000  2 Tl 2.86
Sb  0.5000  0.0000  0.0000  2 Tl 2.86
Tl  0.0000  0.0000  0.0000  4 Sb 2.86, 2 Te 2.98
Te  0.0000  0.0000  0.5000  2 Tl 2.98
Ba  0.5000  0.5000  0.5000  4 Te 4.05, 8 Sb 4.13

***

[4]
Below is a relaxed structure of HfAg2Pd, with properties calculated at the PBE level.

## Properties
Space-group type   R-3m, No. 166
Electronic total energy   -4.994 eV per atom

Cell: 2.8962 2.8962 10.4917 Å, 82.07 82.07 60.00°
Last column: nearest neighbours and their distance in Å.
Element x y z (fractional)
Hf  0.0000  0.0000  0.0000  2 Ag 2.82, 6 Hf 2.90
Pd  0.5000  0.5000  0.5000  6 Ag 2.89, 6 Pd 2.90
Ag  0.0908  0.0908  0.7277  1 Hf 2.82, 3 Pd 2.89, 6 Ag 2.90
Ag  0.9092  0.9092  0.2723  1 Hf 2.82, 3 Pd 2.89, 6 Ag 2.90

***

[5]
Below is a relaxed structure of Ce4Y, with properties calculated at the PBE level.

## Properties
Space-group type   I4/m, No. 87
Electronic total energy   -5.921 eV per atom
Relative energy among the computed polymorphs   0 kJ/mol of formula units

Cell: 5.4715 5.7502 5.7502 Å, 76.92 61.59 61.59°
Last column: nearest neighbours and their distance in Å.
Element x y z (fractional)
Ce  0.2246  0.2044  0.3464  2 Ce 2.88
Ce  0.5710  0.6536  0.2044  2 Ce 2.88
Ce  0.7754  0.7956  0.6536  2 Ce 2.88
Ce  0.4290  0.3464  0.7956  2 Ce 2.88
Y  0.0000  0.0000  0.0000  12 Ce 3.41-3.46

***

[6]
Below is a relaxed structure of K2TmCd2Te4, with properties calculated at the PBE level.

## Properties
Space-group type   C2/m, No. 12
Formation energy without anion corrections   -850 meV per atom
Electronic total energy   -3.191 eV per atom

Cell: 4.4329 8.8199 8.9916 Å, 113.69 104.27 90.00°
Last column: nearest neighbours and their distance in Å.
Element x y z (fractional)
K  0.1264  0.5706  0.2528  7 Te 3.61-3.78, 1 Cd 3.75
K  0.8736  0.4294  0.7472  7 Te 3.61-3.78, 1 Cd 3.75
Tm  0.0000  0.0000  0.0000  6 Te 3.08-3.11
Cd  0.6899  0.0120  0.3798  3 Te 2.87-2.93, 2 Cd 3.12
Cd  0.3101  0.9880  0.6202  3 Te 2.87-2.93, 2 Cd 3.12
Te  0.1898  0.2299  0.3796  2 Cd 2.93, 1 Tm 3.08
Te  0.8102  0.7701  0.6204  2 Cd 2.93, 1 Tm 3.08
Te  0.5180  0.7696  0.0359  1 Cd 2.87, 2 Tm 3.11
Te  0.4820  0.2304  0.9641  1 Cd 2.87, 2 Tm 3.11

***

[7]
Below is a relaxed structure of Pm4Pr3Dy2, with properties calculated at the PBE level.

## Properties
Space-group type   P3m1, No. 156
Electronic total energy   -4.657 eV per atom
Relative energy among the computed polymorphs   47 kJ/mol of formula units

Cell: 3.6448 3.6448 27.1995 Å, 90.00 90.00 120.00°
Last column: nearest neighbours and their distance in Å.
Element x y z (fractional)
Pm  0.0000  0.0000  0.5425  9 Pm 3.61-3.64, 3 Pr 3.71
Pm  0.6667  0.3333  0.4346  9 Pm 3.61-3.64, 3 Pr 3.75
Pm  0.6667  0.3333  0.2127  1 Dy 3.38, 3 Pr 3.60, 6 Pm 3.64
Pm  0.0000  0.0000  0.7676  3 Dy 3.55, 6 Pm 3.64, 3 Pr 3.72
Pr  0.0000  0.0000  0.9836  6 Dy 3.55-3.68, 6 Pr 3.64
Pr  0.0000  0.0000  0.3203  6 Pm 3.60-3.75, 6 Pr 3.64
Pr  0.6667  0.3333  0.6547  6 Pr 3.64, 6 Pm 3.71-3.72
Dy  0.6667  0.3333  0.0885  1 Pm 3.38, 3 Pr 3.55, 6 Dy 3.64
Dy  0.6667  0.3333  0.8726  3 Pm 3.55, 6 Dy 3.64, 3 Pr 3.68

***

[8]
Below is a relaxed structure of Cs3Ba2OsO6, with properties calculated at the PBE level.

## Properties
Space-group type   C2/m, No. 12
Formation energy without anion corrections   -1602 meV per atom
Electronic total energy   -5.551 eV per atom

Cell: 6.5533 6.5533 7.0693 Å, 98.57 98.57 120.08°
Last column: nearest neighbours and their distance in Å.
Element x y z (fractional)
Cs  0.1625  0.8375  0.5000  4 O 2.93-2.97
Cs  0.8375  0.1625  0.5000  4 O 2.93-2.97
Cs  0.5000  0.5000  0.5000  4 O 2.99
Ba  0.3329  0.6671  0.0000  6 O 2.70-2.74
Ba  0.6671  0.3329  0.0000  6 O 2.70-2.74
Os  0.0000  0.0000  0.0000  6 O 2.05-2.07
O  0.9427  0.6849  0.8306  1 Os 2.05
O  0.7984  0.7984  0.1759  1 Os 2.07
O  0.0573  0.3151  0.1694  1 Os 2.05
O  0.6849  0.9427  0.8306  1 Os 2.05
O  0.2016  0.2016  0.8241  1 Os 2.07
O  0.3151  0.0573  0.1694  1 Os 2.05